Computed, not measured: a geometry-optimized Pr4MgHg2 structure at the GGA-PBE level of DFT.

abc: 7.975 10.686 5.189
angles: 90.00 90.00 90.00
Space group Cmmm (No. 65)
Inequivalent atoms, fractional coordinates:
Pr 0.229 0.000 0.000
Pr 0.250 0.250 0.500
Mg 0.000 0.500 0.500
Hg 0.000 0.270 0.000

- Formation enthalpy at 0 K: -0.208 eV/atom
- Energy above the most stable polymorph in this dataset: 0 meV/atom
- Volume: 31.59 A^3/atom


Computed, not measured: a geometry-optimized PrMg2Hg4 structure at the GGA-PBE level of DFT.

abc: 4.9319 4.9319 25.3903
angles: 90.00 90.00 120.00
Space group R-3m (No. 166, hexagonal axes)
Inequivalent atoms, fractional coordinates:
Pr 0.0000 0.0000 0.0000
Mg 0.0000 0.0000 0.2457
Hg 0.0000 0.0000 0.1309
Hg 0.0000 0.0000 0.3921

- Formation enthalpy at 0 K: -0.279 eV/atom
- Volume: 25.47 A^3/atom


Computed, not measured: a geometry-optimized Pr2Mg3Hg4 structure at the GGA-PBE level of DFT.

abc: 5.083 5.088 10.085
angles: 89.73 89.84 60.07
Space group P-1 (No. 2)
Inequivalent atoms, fractional coordinates:
Pr 0.166 0.166 0.213
Mg 0.167 0.168 0.572
Mg 0.500 0.500 0.000
Hg 0.167 0.167 0.899
Hg 0.499 0.498 0.351

- Formation enthalpy at 0 K: -0.374 eV/atom
- Energy above the most stable polymorph in this dataset: 0 meV/atom
- Volume: 25.12 A^3/atom